The following is a GGA-PBE calculation of crystalline Hf2Ti2Hg at its relaxed geometry, from Alexandria.

Values from the calculation:
total DFT energy (no corrections): -7.230 eV/atom
space group: Cmcm
E above lowest polymorph: 0.000 eV/atom
energy relative to the elements: -0.030 eV/atom

a = 8.564 Å, b = 8.564 Å, c = 4.937 Å
α = 90.00°, β = 90.00°, γ = 33.41°
Sites, in units of the cell vectors:
Hf  0.140  0.641  0.750
Hf  0.359  0.860  0.750
Hf  0.641  0.140  0.250
Hf  0.860  0.359  0.250
Ti  0.038  0.535  0.250
Ti  0.465  0.962  0.250
Ti  0.535  0.038  0.750
Ti  0.962  0.465  0.750
Hg  0.252  0.748  0.250
Hg  0.748  0.252  0.750